# 1
Material: CsNbB4
Method: DFT, GGA-PBE
State: relaxed

Results
* distance to the lowest polymorph of the same formula: 0 meV per atom
* uncorrected energy: -38.01 eV per cell

Unit cell a=3.1500 b=3.1500 c=8.9090 alpha=90.00 beta=90.00 gamma=120.00
Last column: nearest neighbours and their distance in Å.
Positions (direct):
B (0.6667, 0.3333, 0.3156)  3 B 1.82
B (0.3333, 0.6667, 0.3156)  3 B 1.82
B (0.6667, 0.3333, 0.6844)  3 B 1.82
B (0.3333, 0.6667, 0.6844)  3 B 1.82
Cs (0.0000, 0.0000, 0.0000)  6 Cs 3.15, 12 B 3.35
Nb (0.0000, 0.0000, 0.5000)  12 B 2.45

---

# 2
Material: TbTlNiTe3
Method: DFT, GGA-PBE
State: relaxed

Results
* distance to the lowest polymorph of the same formula: 0 meV per atom
* uncorrected energy: -104.40 eV per cell

Unit cell a=16.1899 b=4.1865 c=11.2351 alpha=90.00 beta=90.00 gamma=90.00
Last column: nearest neighbours and their distance in Å.
Positions (direct):
Ni (0.5107, 0.2500, 0.1073)  4 Te 2.52-2.54
Ni (0.0107, 0.2500, 0.3927)  4 Te 2.52-2.54
Ni (0.9893, 0.7500, 0.6073)  4 Te 2.52-2.54
Ni (0.4893, 0.7500, 0.8927)  4 Te 2.52-2.54
Tb (0.0233, 0.7500, 0.1622)  6 Te 3.04-3.16, 2 Ni 3.34
Tb (0.5233, 0.7500, 0.3378)  6 Te 3.04-3.16, 2 Ni 3.34
Tb (0.4767, 0.2500, 0.6622)  6 Te 3.04-3.16, 2 Ni 3.34
Tb (0.9767, 0.2500, 0.8378)  6 Te 3.04-3.16, 2 Ni 3.34
Te (0.8942, 0.2500, 0.0813)  3 Tb 3.04-3.09, 2 Tl 3.36
Te (0.4236, 0.7500, 0.0959)  3 Ni 2.52-2.53
Te (0.6417, 0.2500, 0.2325)  1 Ni 2.54
Te (0.1417, 0.2500, 0.2675)  1 Ni 2.54
Te (0.9236, 0.7500, 0.4041)  3 Ni 2.52-2.53
Te (0.3942, 0.2500, 0.4187)  3 Tb 3.04-3.09, 2 Tl 3.36
Te (0.6058, 0.7500, 0.5813)  3 Tb 3.04-3.09, 2 Tl 3.36
Te (0.0764, 0.2500, 0.5959)  3 Ni 2.52-2.53
Te (0.8583, 0.7500, 0.7325)  1 Ni 2.54
Te (0.3583, 0.7500, 0.7675)  1 Ni 2.54
Te (0.5764, 0.2500, 0.9041)  3 Ni 2.52-2.53
Te (0.1058, 0.7500, 0.9187)  3 Tb 3.04-3.09, 2 Tl 3.36
Tl (0.7384, 0.7500, 0.0159)  7 Te 3.36-3.73
Tl (0.2384, 0.7500, 0.4841)  7 Te 3.36-3.73
Tl (0.7616, 0.2500, 0.5159)  7 Te 3.36-3.73
Tl (0.2616, 0.2500, 0.9841)  7 Te 3.36-3.73

---

# 3
Material: RbHfNp
Method: DFT, GGA-PBE
State: relaxed

Results
* uncorrected energy: -17.51 eV per cell

Unit cell a=5.4843 b=5.4843 c=5.4843 alpha=60.00 beta=60.00 gamma=60.00
Last column: nearest neighbours and their distance in Å.
Positions (direct):
Hf (0.0000, 0.0000, 0.0000)  4 Rb 3.36, 4 Np 3.36
Np (0.2500, 0.2500, 0.2500)  4 Hf 3.36
Rb (0.7500, 0.7500, 0.7500)  4 Hf 3.36

---

# 4
Material: NaReAuSe2S
Method: DFT, GGA-PBE
State: relaxed

Results
* uncorrected energy: -58.34 eV per cell

Unit cell a=8.5682 b=8.5682 c=9.0600 alpha=90.00 beta=90.00 gamma=154.44
Last column: nearest neighbours and their distance in Å.
Positions (direct):
Au (0.8590, 0.1410, 0.2500)  2 Se 2.45
Au (0.1410, 0.8590, 0.7500)  2 Se 2.45
Na (0.2271, 0.7729, 0.2500)  2 Se 2.90, 2 Au 2.91
Na (0.7729, 0.2271, 0.7500)  2 Se 2.90, 2 Au 2.91
Re (0.5000, 0.5000, 0.0000)  2 S 2.27
Re (0.5000, 0.5000, 0.5000)  2 S 2.27
S (0.5020, 0.4980, 0.2500)  2 Re 2.27
S (0.4980, 0.5020, 0.7500)  2 Re 2.27
Se (0.1102, 0.8899, 0.0142)  1 Au 2.45, 2 Re 2.65
Se (0.1102, 0.8899, 0.4858)  1 Au 2.45, 2 Re 2.65
Se (0.8899, 0.1102, 0.5142)  1 Au 2.45, 2 Re 2.65
Se (0.8899, 0.1102, 0.9858)  1 Au 2.45, 2 Re 2.65

---

# 5
Material: SrMgCdSn2
Method: DFT, GGA-PBE
State: relaxed

Results
* distance to the lowest polymorph of the same formula: 29 meV per atom
* uncorrected energy: -27.92 eV per cell

Unit cell a=4.8201 b=4.8201 c=12.1977 alpha=90.00 beta=90.00 gamma=90.00
Last column: nearest neighbours and their distance in Å.
Positions (direct):
Cd (0.0000, 0.0000, 0.0000)  4 Sn 2.96
Cd (0.5000, 0.5000, 0.0000)  4 Sn 2.96
Mg (0.5000, 0.0000, 0.3670)  5 Sn 2.76-2.91
Mg (0.0000, 0.5000, 0.6330)  5 Sn 2.76-2.91
Sn (0.5000, 0.0000, 0.1410)  1 Mg 2.76, 4 Cd 2.96
Sn (0.0000, 0.0000, 0.5000)  4 Mg 2.91
Sn (0.5000, 0.5000, 0.5000)  4 Mg 2.91
Sn (0.0000, 0.5000, 0.8590)  1 Mg 2.76, 4 Cd 2.96
Sr (0.0000, 0.5000, 0.2505)  8 Sn 3.66-3.88, 4 Mg 3.69, 4 Cd 3.89
Sr (0.5000, 0.0000, 0.7495)  8 Sn 3.66-3.88, 4 Mg 3.69, 4 Cd 3.89

---

# 6
Material: TaW4
Method: DFT, GGA-PBE
State: relaxed

Results
* uncorrected energy: -379.30 eV per cell
* ΔH_f (0 K): 0.095 eV/atom

Unit cell a=9.8711 b=9.8711 c=5.1679 alpha=90.00 beta=90.00 gamma=90.00
Last column: nearest neighbours and their distance in Å.
Positions (direct):
Ta (0.0000, 0.0000, 0.0000)  8 W 2.64-2.92
Ta (0.3943, 0.3943, 0.0000)  6 W 2.74-3.03, 3 Ta 2.95-2.98
Ta (0.6057, 0.6057, 0.0000)  6 W 2.74-3.03, 3 Ta 2.95-2.98
Ta (0.8943, 0.1057, 0.5000)  6 W 2.74-3.03, 3 Ta 2.95-2.98
Ta (0.5000, 0.5000, 0.5000)  8 W 2.64-2.92
Ta (0.1057, 0.8943, 0.5000)  6 W 2.74-3.03, 3 Ta 2.95-2.98
W (0.7402, 0.0616, 0.0000)  1 Ta 2.64, 9 W 2.76-2.87
W (0.4686, 0.1270, 0.0000)  5 W 2.58-2.83, 1 Ta 2.74
W (0.9384, 0.2598, 0.0000)  1 Ta 2.64, 9 W 2.76-2.87
W (0.1270, 0.4686, 0.0000)  5 W 2.58-2.83, 1 Ta 2.74
W (0.8730, 0.5314, 0.0000)  5 W 2.58-2.83, 1 Ta 2.74
W (0.0616, 0.7402, 0.0000)  1 Ta 2.64, 9 W 2.76-2.87
W (0.5314, 0.8730, 0.0000)  5 W 2.58-2.83, 1 Ta 2.74
W (0.2598, 0.9384, 0.0000)  1 Ta 2.64, 9 W 2.76-2.87
W (0.6871, 0.3129, 0.2496)  6 W 2.58-2.87
W (0.3129, 0.6871, 0.2496)  6 W 2.58-2.87
W (0.1871, 0.1871, 0.2504)  6 W 2.58-2.87
W (0.8129, 0.8129, 0.2504)  6 W 2.58-2.87
W (0.6270, 0.0314, 0.5000)  5 W 2.58-2.83, 1 Ta 2.74
W (0.4384, 0.2402, 0.5000)  1 Ta 2.64, 9 W 2.76-2.87
W (0.9686, 0.3730, 0.5000)  5 W 2.58-2.83, 1 Ta 2.74
W (0.2402, 0.4384, 0.5000)  1 Ta 2.64, 9 W 2.76-2.87
W (0.7598, 0.5616, 0.5000)  1 Ta 2.64, 9 W 2.76-2.87
W (0.0314, 0.6270, 0.5000)  5 W 2.58-2.83, 1 Ta 2.74
W (0.5616, 0.7598, 0.5000)  1 Ta 2.64, 9 W 2.76-2.87
W (0.3730, 0.9686, 0.5000)  5 W 2.58-2.83, 1 Ta 2.74
W (0.1871, 0.1871, 0.7496)  6 W 2.58-2.87
W (0.8129, 0.8129, 0.7496)  6 W 2.58-2.87
W (0.6871, 0.3129, 0.7504)  6 W 2.58-2.87
W (0.3129, 0.6871, 0.7504)  6 W 2.58-2.87

---

# 7
Material: TlZnSeF
Method: DFT, GGA-PBE
State: relaxed

Results
* distance to the lowest polymorph of the same formula: 168 meV per atom
* uncorrected energy: -25.73 eV per cell

Unit cell a=3.8283 b=3.8283 c=12.4203 alpha=90.00 beta=90.00 gamma=90.00
Last column: nearest neighbours and their distance in Å.
Positions (direct):
F (0.0000, 0.0000, 0.0000)  4 Tl 2.46, 4 F 2.71
F (0.5000, 0.5000, 0.0000)  4 Tl 2.46, 4 F 2.71
Se (0.0000, 0.5000, 0.3867)  5 Zn 2.47-2.73
Se (0.5000, 0.0000, 0.6133)  5 Zn 2.47-2.73
Tl (0.0000, 0.5000, 0.1245)  4 F 2.46
Tl (0.5000, 0.0000, 0.8755)  4 F 2.46
Zn (0.5000, 0.0000, 0.4146)  5 Se 2.47-2.73
Zn (0.0000, 0.5000, 0.5854)  5 Se 2.47-2.73

---

# 8
Material: LuNi4
Method: DFT, GGA-PBE
State: relaxed

Results
* uncorrected energy: -259.03 eV per cell
* ΔH_f (0 K): -0.397 eV/atom

Unit cell a=4.8059 b=4.8059 c=30.0768 alpha=90.00 beta=90.00 gamma=120.00
Last column: nearest neighbours and their distance in Å.
Positions (direct):
Lu (0.2198, 0.4282, 0.0482)  14 Ni 2.79-2.89
Lu (0.2126, 0.4253, 0.1667)  6 Ni 2.76-2.78
Lu (0.2084, 0.4282, 0.2851)  14 Ni 2.79-2.89
Lu (0.5718, 0.7916, 0.3815)  14 Ni 2.79-2.89
Lu (0.5747, 0.7874, 0.5000)  6 Ni 2.76-2.78
Lu (0.5718, 0.7802, 0.6185)  14 Ni 2.79-2.89
Lu (0.2084, 0.7802, 0.7149)  14 Ni 2.79-2.89
Lu (0.2126, 0.7874, 0.8333)  6 Ni 2.76-2.78
Lu (0.2198, 0.7916, 0.9518)  14 Ni 2.79-2.89
Ni (0.8814, 0.7662, 0.0313)  5 Ni 2.43-2.52
Ni (0.5593, 0.1061, 0.0316)  5 Ni 2.43-2.53
Ni (0.2174, 0.9286, 0.1000)  8 Ni 2.40-2.50
Ni (0.7187, 0.9316, 0.1004)  8 Ni 2.40-2.49
Ni (0.7170, 0.4307, 0.1006)  8 Ni 2.40-2.51
Ni (0.5450, 0.0901, 0.1667)  6 Ni 2.42-2.44
Ni (0.8810, 0.7620, 0.1667)  6 Ni 2.42-2.45
Ni (0.7137, 0.4307, 0.2327)  8 Ni 2.40-2.51
Ni (0.2130, 0.9316, 0.2330)  8 Ni 2.40-2.49
Ni (0.7111, 0.9286, 0.2333)  8 Ni 2.40-2.50
Ni (0.5467, 0.1061, 0.3017)  5 Ni 2.43-2.53
Ni (0.8848, 0.7662, 0.3020)  5 Ni 2.43-2.52
Ni (0.2338, 0.1152, 0.3646)  5 Ni 2.43-2.52
Ni (0.8939, 0.4533, 0.3649)  5 Ni 2.43-2.53
Ni (0.0714, 0.2889, 0.4333)  8 Ni 2.40-2.50
Ni (0.0684, 0.7870, 0.4337)  8 Ni 2.40-2.49
Ni (0.5693, 0.2863, 0.4339)  8 Ni 2.40-2.51
Ni (0.2380, 0.1190, 0.5000)  6 Ni 2.42-2.45
Ni (0.9099, 0.4550, 0.5000)  6 Ni 2.42-2.44
Ni (0.5693, 0.2830, 0.5661)  8 Ni 2.40-2.51
Ni (0.0684, 0.2813, 0.5663)  8 Ni 2.40-2.49
Ni (0.0714, 0.7826, 0.5667)  8 Ni 2.40-2.50
Ni (0.8939, 0.4407, 0.6351)  5 Ni 2.43-2.53
Ni (0.2338, 0.1186, 0.6354)  5 Ni 2.43-2.52
Ni (0.8848, 0.1186, 0.6980)  5 Ni 2.43-2.52
Ni (0.5467, 0.4407, 0.6983)  5 Ni 2.43-2.53
Ni (0.7111, 0.7826, 0.7667)  8 Ni 2.40-2.50
Ni (0.2130, 0.2813, 0.7670)  8 Ni 2.40-2.49
Ni (0.7137, 0.2830, 0.7673)  8 Ni 2.40-2.51
Ni (0.8810, 0.1190, 0.8333)  6 Ni 2.42-2.45
Ni (0.5450, 0.4550, 0.8333)  6 Ni 2.42-2.44
Ni (0.7170, 0.2863, 0.8994)  8 Ni 2.40-2.51
Ni (0.7187, 0.7870, 0.8996)  8 Ni 2.40-2.49
Ni (0.2174, 0.2889, 0.9000)  8 Ni 2.40-2.50
Ni (0.5593, 0.4533, 0.9684)  5 Ni 2.43-2.53
Ni (0.8814, 0.1152, 0.9687)  5 Ni 2.43-2.52

---

# 9
Material: LaCuPdPb
Method: DFT, GGA-PBE
State: relaxed

Results
* distance to the lowest polymorph of the same formula: 233 meV per atom
* uncorrected energy: -18.42 eV per cell

Unit cell a=5.0445 b=5.0445 c=5.0445 alpha=60.00 beta=60.00 gamma=60.00
Last column: nearest neighbours and their distance in Å.
Positions (direct):
Cu (0.7500, 0.7500, 0.7500)  4 Pd 3.09, 4 Pb 3.09
La (0.2500, 0.2500, 0.2500)  4 Pb 3.09, 4 Pd 3.09
Pb (0.5000, 0.5000, 0.5000)  4 La 3.09, 4 Cu 3.09
Pd (0.0000, 0.0000, 0.0000)  4 Cu 3.09, 4 La 3.09

---

# 10
Material: AcCd
Method: DFT, GGA-PBE
State: relaxed

Results
* uncorrected energy: -3.95 eV per cell
* ΔH_f (0 K): 0.527 eV/atom

Unit cell a=5.2078 b=5.2078 c=5.2078 alpha=60.00 beta=60.00 gamma=60.00
Last column: nearest neighbours and their distance in Å.
Positions (direct):
Ac (0.0000, 0.0000, 0.0000)  4 Cd 3.19
Cd (0.2500, 0.2500, 0.2500)  4 Ac 3.19

---

Among the records above, which one has the lowest uncorrected energy?
TaW4